[1]
CsNaFe: relaxed, PBE.

* energy: -2.425 eV per atom

Lattice parameters (Å, degrees): 8.179 8.179 8.179 90.00 90.00 90.00
Space group F-43m (No. 216)
One atom of each set of equivalent atoms:
Cs 0.000 0.000 0.000
Na 0.000 0.000 0.500
Fe 0.250 0.250 0.250



[2]
CsNaFeOs: relaxed, PBE.

* distance to the lowest polymorph of the same formula: 468 meV per atom

Lattice parameters (Å, degrees): 7.083 7.083 7.083 90.00 90.00 90.00
Space group F-43m (No. 216)
One atom of each set of equivalent atoms:
Cs 0.000 0.000 0.000
Na 0.000 0.000 0.500
Fe 0.250 0.250 0.750
Os 0.250 0.250 0.250



[3]
CsNaFeOs: relaxed, PBE.

* distance to the lowest polymorph of the same formula: 44 meV per atom

Lattice parameters (Å, degrees): 7.016 7.016 7.016 90.00 90.00 90.00
Space group F-43m (No. 216)
One atom of each set of equivalent atoms:
Cs 0.000 0.000 0.000
Na 0.250 0.250 0.750
Fe 0.250 0.250 0.250
Os 0.000 0.000 0.500



[4]
CsNaFeOs: relaxed, PBE.

* distance to the lowest polymorph of the same formula: 0 meV per atom

Lattice parameters (Å, degrees): 6.968 6.968 6.968 90.00 90.00 90.00
Space group F-43m (No. 216)
One atom of each set of equivalent atoms:
Cs 0.000 0.000 0.000
Na 0.250 0.250 0.250
Fe 0.000 0.000 0.500
Os 0.250 0.250 0.750



[5]
CsNbFeS3: relaxed, PBE.

* energy: -6.216 eV per atom

Lattice parameters (Å, degrees): 3.545 15.893 9.471 90.00 90.00 90.00
Space group Cmcm (No. 63)
One atom of each set of equivalent atoms:
Cs 0.000 0.244 0.250
Nb 0.000 0.500 0.000
Fe 0.000 0.029 0.750
S 0.000 0.109 0.556
S 0.000 0.439 0.750



[6]
CsNdFeSe3: relaxed, PBE.

* energy: -5.278 eV per atom

Lattice parameters (Å, degrees): 9.944 4.219 10.165 90.00 110.62 90.00
Space group P2_1/m (No. 11)
One atom of each set of equivalent atoms:
Cs 0.212 0.250 0.240
Nd 0.331 0.750 0.853
Fe 0.073 0.250 0.589
Se 0.115 0.250 0.839
Se 0.188 0.750 0.535
Se 0.468 0.750 0.159



[7]
CsNdFeTe3: relaxed, PBE.

* distance to the lowest polymorph of the same formula: 0 meV per atom

Lattice parameters (Å, degrees): 4.473 17.292 11.794 90.00 90.00 90.00
Space group Cmcm (No. 63)
One atom of each set of equivalent atoms:
Cs 0.000 0.243 0.250
Nd 0.000 0.500 0.000
Fe 0.000 0.030 0.750
Te 0.000 0.120 0.571
Te 0.000 0.439 0.750



[8]
CsNdFeTe3: relaxed, PBE.

* distance to the lowest polymorph of the same formula: 72 meV per atom

Lattice parameters (Å, degrees): 12.576 4.758 14.000 90.00 90.00 90.00
Space group Pnma (No. 62)
One atom of each set of equivalent atoms:
Cs 0.174 0.250 0.001
Nd 0.026 0.250 0.670
Fe 0.241 0.250 0.295
Te 0.053 0.750 0.821
Te 0.101 0.250 0.439
Te 0.212 0.750 0.209